[1]
DFT (PBE) results for an optimized crystal structure of Nb2GeF.

Values from the calculation:
- Volume: 15.36 A^3/atom
- Size of the total moment: 0.0 μB/cell
- Formation energy (no corrections): -0.514 eV per atom

abc: 6.264 6.264 6.264
angles: 90.00 90.00 90.00
Space group Fm-3m (No. 225)
Symmetry-distinct sites (fractional):
Nb1 0.250 0.250 0.250 [8 per cell]
Ge1 0.000 0.000 0.000 [4 per cell]
F1 0.000 0.000 0.500 [4 per cell]

[2]
DFT (PBE) results for an optimized crystal structure of Nb2GeF.

Values from the calculation:
- Volume: 18.45 A^3/atom
- Size of the total moment: 0.0 μB/cell
- Formation energy (no corrections): -0.074 eV per atom

abc: 4.478 4.478 14.720
angles: 90.00 90.00 90.00
Space group I-42d (No. 122)
Symmetry-distinct sites (fractional):
Nb1 0.169 0.250 0.125 [8 per cell]
Ge1 0.000 0.000 0.500 [4 per cell]
F1 0.000 0.000 0.000 [4 per cell]

Which of these has the highest formation energy (no corrections)? number 2